Entry from Alexandria: AgIr2Os after structural relaxation (PBE-GGA).

Values from the calculation:
Uncorrected energy (eV per atom): -7.56
Formation enthalpy at 0 K (eV per atom): 0.388
Density of states at the Fermi level (states/eV per cell): 4.4

Lattice parameters (Å, degrees): 4.810 4.810 4.843 80.61 80.61 33.30
Fractional coordinates of all 4 atoms:
1 Os 0.510 0.510 0.473
2 Ir 0.250 0.250 0.266
3 Ir 0.991 0.991 0.004
4 Ag 0.749 0.749 0.758

***

Entry from Alexandria: AgIr2Os after structural relaxation (PBE-GGA).

Values from the calculation:
Uncorrected energy (eV per atom): -7.48
Formation enthalpy at 0 K (eV per atom): 0.467
Density of states at the Fermi level (states/eV per cell): 6.9

Lattice parameters (Å, degrees): 4.819 4.819 2.751 90.00 90.00 109.20
Fractional coordinates of all 4 atoms:
1 Ag 0.000 0.500 0.500
2 Ir 0.500 0.500 0.000
3 Ir 0.000 0.000 0.000
4 Os 0.500 0.000 0.500

***

Entry from Alexandria: Ag2IrOs after structural relaxation (PBE-GGA).

Values from the calculation:
Uncorrected energy (eV per atom): -5.69
Formation enthalpy at 0 K (eV per atom): 0.761
Density of states at the Fermi level (states/eV per cell): 4.9

Lattice parameters (Å, degrees): 5.213 5.213 2.687 90.00 90.00 118.56
Fractional coordinates of all 4 atoms:
1 Ag 0.500 0.500 0.000
2 Ag 0.000 0.000 0.000
3 Ir 0.500 0.000 0.500
4 Os 0.000 0.500 0.500

***

Entry from Alexandria: Ag2IrOs after structural relaxation (PBE-GGA).

Values from the calculation:
Uncorrected energy (eV per atom): -6.16
Formation enthalpy at 0 K (eV per atom): 0.284
Density of states at the Fermi level (states/eV per cell): 3.8

Lattice parameters (Å, degrees): 2.793 2.793 8.251 90.00 90.00 90.00
Fractional coordinates of all 4 atoms:
1 Ir 0.000 0.000 0.522
2 Os 0.500 0.500 0.729
3 Ag 0.000 0.000 0.991
4 Ag 0.500 0.500 0.258

***

Entry from Alexandria: AgIr2Os after structural relaxation (PBE-GGA).

Values from the calculation:
Uncorrected energy (eV per atom): -7.21
Formation enthalpy at 0 K (eV per atom): 0.738
Density of states at the Fermi level (states/eV per cell): 2.6

Lattice parameters (Å, degrees): 4.448 4.448 4.448 60.00 60.00 60.00
Fractional coordinates of all 4 atoms:
1 Ir 0.750 0.750 0.750
2 Ir 0.250 0.250 0.250
3 Ag 0.000 0.000 0.000
4 Os 0.500 0.500 0.500

***

Entry from Alexandria: Ag2IrOs after structural relaxation (PBE-GGA).

Values from the calculation:
Uncorrected energy (eV per atom): -5.67
Formation enthalpy at 0 K (eV per atom): 0.782
Density of states at the Fermi level (states/eV per cell): 5.2

Lattice parameters (Å, degrees): 3.762 3.762 4.552 90.00 90.00 90.00
Fractional coordinates of all 4 atoms:
1 Ag 0.000 0.000 0.000
2 Ag 0.500 0.500 0.000
3 Os 0.000 0.500 0.500
4 Ir 0.500 0.000 0.500

***

Entry from Alexandria: Ag2IrOs after structural relaxation (PBE-GGA).

Values from the calculation:
Uncorrected energy (eV per atom): -5.66
Formation enthalpy at 0 K (eV per atom): 0.786
Density of states at the Fermi level (states/eV per cell): 5.7

Lattice parameters (Å, degrees): 5.207 5.207 5.207 137.16 137.16 62.19
Fractional coordinates of all 4 atoms:
1 Ag 0.000 0.000 0.000
2 Ag 0.500 0.500 0.000
3 Ir 0.250 0.750 0.500
4 Os 0.750 0.250 0.500

***

Entry from Alexandria: Ag2IrOs after structural relaxation (PBE-GGA).

Values from the calculation:
Uncorrected energy (eV per atom): -5.86
Formation enthalpy at 0 K (eV per atom): 0.589
Density of states at the Fermi level (states/eV per cell): 3.2

Lattice parameters (Å, degrees): 2.746 4.709 4.984 90.00 90.00 90.00
Fractional coordinates of all 4 atoms:
1 Ag 0.000 0.000 0.000
2 Ag 0.500 0.500 0.000
3 Os 0.000 0.500 0.500
4 Ir 0.500 0.000 0.500

***

Entry from Alexandria: Ag2IrOs after structural relaxation (PBE-GGA).

Values from the calculation:
Uncorrected energy (eV per atom): -5.79
Formation enthalpy at 0 K (eV per atom): 0.663
Density of states at the Fermi level (states/eV per cell): 3.3

Lattice parameters (Å, degrees): 5.636 5.636 5.636 151.37 129.03 59.51
Fractional coordinates of all 4 atoms:
1 Ir 0.481 0.481 0.000
2 Ag 0.740 0.240 0.500
3 Ag 0.010 0.010 0.000
4 Os 0.269 0.769 0.500

***

Entry from Alexandria: Ag2IrOs after structural relaxation (PBE-GGA).

Values from the calculation:
Uncorrected energy (eV per atom): -5.75
Formation enthalpy at 0 K (eV per atom): 0.701
Density of states at the Fermi level (states/eV per cell): 3.3

Lattice parameters (Å, degrees): 4.750 4.750 4.750 129.02 129.02 74.97
Fractional coordinates of all 4 atoms:
1 Ag 0.000 0.000 0.000
2 Ag 0.250 0.750 0.500
3 Ir 0.500 0.500 0.000
4 Os 0.750 0.250 0.500

***

Entry from Alexandria: AgIr3Os after structural relaxation (PBE-GGA).

Values from the calculation:
Uncorrected energy (eV per atom): -6.40
Formation enthalpy at 0 K (eV per atom): 1.730
Density of states at the Fermi level (states/eV per cell): 4.3

Lattice parameters (Å, degrees): 4.742 4.742 4.742 90.00 90.00 90.00
Fractional coordinates of all 5 atoms:
1 Ir 0.000 0.500 0.000
2 Ir 0.000 0.000 0.500
3 Ir 0.500 0.000 0.000
4 Os 0.000 0.000 0.000
5 Ag 0.500 0.500 0.500

***

Entry from Alexandria: Ag2IrOs after structural relaxation (PBE-GGA).

Values from the calculation:
Uncorrected energy (eV per atom): -5.67
Formation enthalpy at 0 K (eV per atom): 0.774
Density of states at the Fermi level (states/eV per cell): 6.0

Lattice parameters (Å, degrees): 2.680 2.680 8.925 90.00 90.00 90.00
Fractional coordinates of all 4 atoms:
1 Ag 0.000 0.000 0.499
2 Ag 0.000 0.000 0.001
3 Os 0.500 0.500 0.750
4 Ir 0.500 0.500 0.250